Entry 1:
This record from Alexandria via LeMat-Bulk describes a relaxed structure of SrInPb2. The functional is GGA-PBEsol.

Formation energy: -125 kJ/mol of formula units
Calculated density: 8767 kg/m³
Space-group type: No. 119

Unit cell a=4.8180 b=4.8180 c=6.0778 alpha=113.35 beta=113.35 gamma=90.00
With the nearest neighbours (Å) after each atom.
Sites, in units of the cell vectors:
Pb 0.0000 0.0000 0.0000  4 Sr 3.41, 4 Pb 3.48, 4 In 3.48
Pb 0.7500 0.2500 0.5000  4 In 3.41, 4 Pb 3.48, 4 Sr 3.48
In 0.2500 0.7500 0.5000  8 Pb 3.41-3.48, 4 Sr 3.48
Sr 0.5000 0.5000 0.0000  8 Pb 3.41-3.48, 4 In 3.48

Entry 2:
This record from Alexandria via LeMat-Bulk describes a relaxed structure of HgIF. The functional is GGA-PBEsol.

Energy relative to the elements, uncorrected: -0.855 eV/atom
Calculated density: 6701 kg/m³
Space-group type: No. 2

Unit cell a=4.4666 b=4.4213 c=8.8557 alpha=90.00 beta=79.10 gamma=89.93
With the nearest neighbours (Å) after each atom.
Sites, in units of the cell vectors:
Hg 0.6574 0.2499 0.3345  3 F 2.24-2.41
Hg 0.3426 0.7501 0.6655  3 F 2.24-2.41
I 0.2083 0.2491 0.1481  2 Hg 2.69-2.83
I 0.7917 0.7509 0.8519  2 Hg 2.69-2.83
F 0.6761 0.7497 0.4417  3 Hg 2.24-2.41
F 0.3239 0.2503 0.5583  3 Hg 2.24-2.41

Entry 3:
This record from Alexandria via LeMat-Bulk describes a relaxed structure of Cu2SiO. The functional is GGA-PBEsol.

Energy relative to the elements, uncorrected: 0.247 eV/atom
Calculated density: 6308 kg/m³
Space-group type: No. 225

Unit cell a=3.9942 b=3.9942 c=3.9942 alpha=60.00 beta=60.00 gamma=60.00
With the nearest neighbours (Å) after each atom.
Sites, in units of the cell vectors:
Cu 0.2500 0.2500 0.2500  4 O 2.45, 4 Si 2.45
Cu 0.7500 0.7500 0.7500  4 O 2.45, 4 Si 2.45
O 0.0000 0.0000 0.0000  8 Cu 2.45
Si 0.5000 0.5000 0.5000  8 Cu 2.45

Entry 4:
This record from Alexandria via LeMat-Bulk describes a relaxed structure of SiTe2Ir2. The functional is GGA-PBEsol.

Energy relative to the elements, uncorrected: 0.299 eV/atom
Calculated density: 10645 kg/m³
Space-group type: No. 139

Unit cell a=5.2210 b=5.2210 c=5.2210 alpha=94.46 beta=117.46 gamma=117.46
With the nearest neighbours (Å) after each atom.
Sites, in units of the cell vectors:
Te 0.5000 0.7500 0.2500  4 Ir 2.74
Te 0.5000 0.2500 0.7500  4 Ir 2.74
Ir 0.0000 0.6902 0.6902  1 Si 2.20
Ir 0.0000 0.3098 0.3098  1 Si 2.20
Si 0.0000 0.0000 0.0000  2 Ir 2.20

Entry 5:
This record from Alexandria via LeMat-Bulk describes a relaxed structure of Al2SbRh. The functional is GGA-PBEsol.

Energy relative to the elements, uncorrected: -0.127 eV/atom
Calculated density: 6925 kg/m³
Space-group type: No. 65

Unit cell a=3.1074 b=4.7993 c=4.7993 alpha=111.02 beta=90.00 gamma=90.00
With the nearest neighbours (Å) after each atom.
Sites, in units of the cell vectors:
Rh 0.5000 0.0000 0.0000  2 Sb 2.72, 8 Al 2.86
Al 0.0000 0.0000 0.5000  2 Al 2.72, 4 Rh 2.86, 4 Sb 2.86
Al 0.0000 0.5000 0.0000  2 Al 2.72, 4 Sb 2.86, 4 Rh 2.86
Sb 0.5000 0.5000 0.5000  2 Rh 2.72, 8 Al 2.86

Entry 6:
This record from Alexandria via LeMat-Bulk describes a relaxed structure of SiBr2. The functional is GGA-PBEsol.

Energy relative to the elements, uncorrected: -0.606 eV/atom
Calculated density: 2847 kg/m³
Space-group type: No. 15

Unit cell a=10.3183 b=10.6898 c=14.4129 alpha=106.71 beta=90.00 gamma=118.86
With the nearest neighbours (Å) after each atom.
Sites, in units of the cell vectors:
Br 0.3665 0.8384 0.5581  1 Si 2.22
Br 0.9299 0.6112 0.4090  1 Si 2.22
Br 0.8747 0.2566 0.1413  1 Si 2.22
Br 0.3186 0.3888 0.0910  1 Si 2.22
Br 0.2256 0.4049 0.8509  1 Si 2.22
Br 0.2261 0.7227 0.2354  1 Si 2.22
Br 0.0701 0.3888 0.5910  1 Si 2.22
Br 0.4719 0.8384 0.0581  1 Si 2.22
Br 0.5281 0.1616 0.9419  1 Si 2.22
Br 0.7739 0.2773 0.7646  1 Si 2.22
Br 0.1174 0.9689 0.1009  1 Si 2.21
Br 0.1253 0.7434 0.8587  1 Si 2.22
Br 0.7744 0.5951 0.1491  1 Si 2.22
Br 0.6335 0.1616 0.4419  1 Si 2.22
Br 0.8826 0.0311 0.8991  1 Si 2.21
Br 0.5034 0.2773 0.2646  1 Si 2.22
Br 0.3819 0.2566 0.6413  1 Si 2.22
Br 0.6181 0.7434 0.3587  1 Si 2.22
Br 0.8516 0.9689 0.6009  1 Si 2.21
Br 0.4966 0.7227 0.7354  1 Si 2.22
Br 0.8207 0.5951 0.6491  1 Si 2.22
Br 0.6814 0.6112 0.9090  1 Si 2.22
Br 0.1484 0.0311 0.3991  1 Si 2.21
Br 0.1793 0.4049 0.3509  1 Si 2.22
Si 0.3321 0.2559 0.4912  2 Br 2.21-2.22, 2 Si 2.36
Si 0.6679 0.7441 0.5088  2 Br 2.21-2.22, 2 Si 2.36
Si 0.5535 0.3127 0.4229  2 Br 2.22, 2 Si 2.36
Si 0.8210 0.5661 0.9964  2 Br 2.22, 2 Si 2.36
Si 0.1790 0.4339 0.0036  2 Br 2.22, 2 Si 2.36
Si 0.0762 0.7441 0.0088  2 Br 2.21-2.22, 2 Si 2.36
Si 0.7592 0.3127 0.9229  2 Br 2.22, 2 Si 2.36
Si 0.2408 0.6873 0.0771  2 Br 2.22, 2 Si 2.36
Si 0.9238 0.2559 0.9912  2 Br 2.21-2.22, 2 Si 2.36
Si 0.7451 0.5661 0.4964  2 Br 2.22, 2 Si 2.36
Si 0.4465 0.6873 0.5771  2 Br 2.22, 2 Si 2.36
Si 0.2549 0.4339 0.5036  2 Br 2.22, 2 Si 2.36

Entry 7:
This record from Alexandria via LeMat-Bulk describes a relaxed structure of La2AlB. The functional is GGA-PBEsol.

Formation energy: 78 kJ/mol of formula units
Calculated density: 5739 kg/m³
Space-group type: No. 225

Unit cell a=5.0547 b=5.0547 c=5.0547 alpha=60.00 beta=60.00 gamma=60.00
With the nearest neighbours (Å) after each atom.
Sites, in units of the cell vectors:
B 0.0000 0.0000 0.0000  8 La 3.10
La 0.2500 0.2500 0.2500  4 B 3.10, 4 Al 3.10
La 0.7500 0.7500 0.7500  4 B 3.10, 4 Al 3.10
Al 0.5000 0.5000 0.5000  8 La 3.10

Entry 8:
This record from Alexandria via LeMat-Bulk describes a relaxed structure of TaCu2Sb. The functional is GGA-PBEsol.

Energy relative to the elements, uncorrected: 0.122 eV/atom
Calculated density: 11638 kg/m³
Space-group type: No. 123

Unit cell a=3.8770 b=3.9771 c=3.9771 alpha=90.00 beta=90.00 gamma=90.00
With the nearest neighbours (Å) after each atom.
Sites, in units of the cell vectors:
Cu 0.0000 0.5000 0.0000  4 Ta 2.78, 4 Sb 2.78, 4 Cu 2.81
Cu 0.0000 0.0000 0.5000  4 Ta 2.78, 4 Sb 2.78, 4 Cu 2.81
Sb 0.5000 0.5000 0.5000  8 Cu 2.78, 4 Ta 2.81
Ta 0.5000 0.0000 0.0000  8 Cu 2.78, 4 Sb 2.81

Entry 9:
This record from Alexandria via LeMat-Bulk describes a relaxed structure of CrRh2. The functional is GGA-PBEsol.

Formation energy: -17 kJ/mol of formula units
Calculated density: 11211 kg/m³
Space-group type: No. 63

Unit cell a=3.6873 b=3.7466 c=5.8275 alpha=90.00 beta=108.44 gamma=90.00
With the nearest neighbours (Å) after each atom.
Sites, in units of the cell vectors:
Rh 0.2527 0.2500 0.5054  4 Cr 2.60-2.66, 8 Rh 2.63-2.66
Rh 0.4201 0.7500 0.8402  6 Cr 2.57-2.63, 6 Rh 2.58-2.66
Rh 0.7473 0.7500 0.4946  4 Cr 2.60-2.66, 8 Rh 2.63-2.66
Rh 0.5799 0.2500 0.1598  6 Cr 2.57-2.63, 6 Rh 2.58-2.66
Cr 0.0820 0.7500 0.1640  10 Rh 2.57-2.66, 2 Cr 2.61
Cr 0.9180 0.2500 0.8360  10 Rh 2.57-2.66, 2 Cr 2.61

Entry 10:
This record from Alexandria via LeMat-Bulk describes a relaxed structure of Na3InP2. The functional is GGA-PBEsol.

Formation energy: -218 kJ/mol of formula units
Calculated density: 3136 kg/m³
Space-group type: No. 14

Unit cell a=7.2932 b=9.3734 c=15.2461 alpha=92.74 beta=90.00 gamma=90.00
With the nearest neighbours (Å) after each atom.
Sites, in units of the cell vectors:
Na 0.3464 0.6165 0.5458  4 P 2.79-2.87, 1 Na 3.10
Na 0.0334 0.8126 0.6499  5 P 3.04-3.37, 3 Na 3.23-3.30, 2 In 3.26-3.36
Na 0.5334 0.1874 0.8501  5 P 3.04-3.37, 3 Na 3.23-3.30, 2 In 3.26-3.36
Na 0.6528 0.1251 0.2038  4 P 2.80-2.87
Na 0.5048 0.6796 0.3627  3 P 2.85-3.18, 1 Na 3.10
Na 0.4766 0.0654 0.3943  4 P 2.93-3.18, 2 Na 3.25-3.28
Na 0.5102 0.4394 0.1046  4 P 2.92-3.18, 2 In 3.19-3.24, 1 Na 3.24
Na 0.1528 0.8749 0.2962  4 P 2.80-2.87
Na 0.6536 0.3835 0.4542  4 P 2.79-2.87, 1 Na 3.10
Na 0.0102 0.5606 0.3954  4 P 2.92-3.18, 2 In 3.19-3.24, 1 Na 3.24
Na 0.9766 0.9346 0.1057  4 P 2.93-3.18, 2 Na 3.25-3.28
Na 0.4666 0.8126 0.1499  5 P 3.04-3.37, 3 Na 3.23-3.30, 2 In 3.26-3.36
Na 0.9952 0.6796 0.8627  3 P 2.85-3.18, 1 Na 3.10
Na 0.0048 0.3204 0.1373  3 P 2.85-3.18, 1 Na 3.10
Na 0.3472 0.8749 0.7962  4 P 2.80-2.87
Na 0.0234 0.0654 0.8943  4 P 2.93-3.18, 2 Na 3.25-3.28
Na 0.4952 0.3204 0.6373  3 P 2.85-3.18, 1 Na 3.10
Na 0.5234 0.9346 0.6057  4 P 2.93-3.18, 2 Na 3.25-3.28
Na 0.8464 0.3835 0.9542  4 P 2.79-2.87, 1 Na 3.10
Na 0.1536 0.6165 0.0458  4 P 2.79-2.87, 1 Na 3.10
Na 0.4898 0.5606 0.8954  4 P 2.92-3.18, 2 In 3.19-3.24, 1 Na 3.24
Na 0.9898 0.4394 0.6046  4 P 2.92-3.18, 2 In 3.19-3.24, 1 Na 3.24
Na 0.9666 0.1874 0.3501  5 P 3.04-3.37, 3 Na 3.23-3.30, 2 In 3.26-3.36
Na 0.8472 0.1251 0.7038  4 P 2.80-2.87
In 0.3581 0.1258 0.0414  4 P 2.58-2.64
In 0.8581 0.8742 0.4586  4 P 2.58-2.64
In 0.8452 0.6369 0.2096  4 P 2.60-2.68
In 0.1419 0.1258 0.5414  4 P 2.58-2.64
In 0.3452 0.3631 0.2904  4 P 2.60-2.68
In 0.1548 0.3631 0.7904  4 P 2.60-2.68
In 0.6548 0.6369 0.7096  4 P 2.60-2.68
In 0.6419 0.8742 0.9586  4 P 2.58-2.64
P 0.7938 0.4083 0.7741  2 In 2.60-2.68, 2 Na 2.79-2.84
P 0.2938 0.5917 0.7259  2 In 2.60-2.68, 2 Na 2.79-2.84
P 0.7062 0.4083 0.2741  2 In 2.60-2.68, 2 Na 2.79-2.84
P 0.7373 0.6533 0.5414  2 In 2.63-2.65, 3 Na 2.87-2.92
P 0.2062 0.5917 0.2259  2 In 2.60-2.68, 2 Na 2.79-2.84
P 0.7627 0.6533 0.0414  2 In 2.63-2.65, 3 Na 2.87-2.92
P 0.7404 0.8754 0.7936  2 In 2.60-2.62, 3 Na 2.85-2.87
P 0.2404 0.1246 0.7064  2 In 2.60-2.62, 3 Na 2.85-2.87
P 0.2596 0.1246 0.2064  2 In 2.60-2.62, 3 Na 2.85-2.87
P 0.7596 0.8754 0.2936  2 In 2.60-2.62, 3 Na 2.85-2.87
P 0.2183 0.8729 0.4768  2 In 2.58-2.64, 2 Na 2.80-2.83
P 0.2627 0.3467 0.4586  2 In 2.63-2.65, 3 Na 2.87-2.92
P 0.2817 0.8729 0.9768  2 In 2.58-2.64, 2 Na 2.80-2.83
P 0.2373 0.3467 0.9586  2 In 2.63-2.65, 3 Na 2.87-2.92
P 0.7183 0.1271 0.0232  2 In 2.58-2.64, 2 Na 2.80-2.83
P 0.7817 0.1271 0.5232  2 In 2.58-2.64, 2 Na 2.80-2.83